First-principles (PBE+U) data for a relaxed Pm3Co5O12 crystal, as listed in Alexandria via LeMat-Bulk.

```
80
Lattice="-6.220 6.220 6.220 6.220 -6.220 6.220 6.220 6.220 -6.220" Properties=species:S:1:pos:R:3 pbc="T T T"
Pm 3.110 1.555 0.000
Pm 6.220 3.110 -1.555
Pm 1.555 0.000 3.110
Pm 7.775 0.000 3.110
Pm 0.000 3.110 1.555
Pm 3.110 -1.555 6.220
Pm 3.110 7.775 0.000
Pm 6.220 3.110 4.665
Pm -1.555 6.220 3.110
Pm 4.665 6.220 3.110
Pm 0.000 3.110 7.775
Pm 3.110 4.665 6.220
Co 0.000 0.000 0.000
Co 3.110 3.110 -3.110
Co 3.110 -3.110 3.110
Co 6.220 0.000 0.000
Co 9.331 1.555 0.000
Co 6.220 -3.110 4.665
Co 4.665 6.220 -3.110
Co 4.665 0.000 3.110
Co 3.110 4.665 0.000
Co 6.220 3.110 1.555
Co -3.110 3.110 3.110
Co 0.000 6.220 0.000
Co 0.000 0.000 6.220
Co 3.110 3.110 3.110
Co 0.000 3.110 4.665
Co 3.110 1.555 6.220
Co 1.555 6.220 3.110
Co 1.555 0.000 9.331
Co 0.000 9.331 1.555
Co -3.110 4.665 6.220
O 1.825 -0.354 0.639
O 7.505 3.749 -3.464
O 8.046 0.354 0.639
O 7.505 -2.472 3.464
O 5.867 -0.639 1.825
O 9.684 -1.285 2.472
O 0.639 1.825 -0.354
O 8.692 2.757 -1.285
O 3.749 3.464 -1.285
O 5.582 1.825 0.354
O -0.354 0.639 1.825
O 3.464 -1.285 3.749
O 5.867 5.582 -1.825
O 3.464 1.285 2.472
O 3.749 -3.464 7.505
O 5.582 -1.825 5.867
O 2.472 3.464 1.285
O 6.859 4.395 0.354
O 3.464 7.505 -2.472
O 5.867 0.639 4.395
O 1.825 5.867 -0.639
O 7.505 2.472 2.757
O 1.285 2.472 3.464
O 1.825 0.354 5.582
O 4.395 5.867 0.639
O 4.936 3.749 2.757
O -1.285 3.749 3.464
O 4.395 0.354 6.859
O 0.354 5.582 1.825
O 2.757 -1.285 8.692
O -0.639 1.825 5.867
O 3.749 2.757 4.936
O 0.639 8.046 0.354
O 2.472 9.684 -1.285
O 2.757 4.936 3.749
O 0.354 0.639 8.046
O 2.757 7.505 2.472
O 6.574 5.582 4.395
O 0.639 4.395 5.867
O 2.472 2.757 7.505
O -2.472 3.464 7.505
O 5.582 4.395 6.574
O -3.464 7.505 3.749
O 0.354 6.859 4.395
O -1.285 8.692 2.757
O -1.825 5.867 5.582
O -1.285 2.472 9.684
O 4.395 6.574 5.582
```

Properties
DFT total energy, eV per atom: -6.847
Space-group type: Ia-3d, No. 230